[1]
# RbHfMn3, optimized geometry, DFT PBE
data_RbHfMn3
_chemical_formula_sum 'Rb1 Hf1 Mn3'
_symmetry_space_group_name_H-M 'P m -3 m'
_symmetry_Int_Tables_number 221
_symmetry_space_group_name_Hall '-P 4 2 3'
_cell_length_a 4.842
_cell_length_b 4.842
_cell_length_c 4.842
_cell_angle_alpha 90.00
_cell_angle_beta 90.00
_cell_angle_gamma 90.00
loop_
_atom_site_label
_atom_site_type_symbol
_atom_site_fract_x
_atom_site_fract_y
_atom_site_fract_z
Rb1 Rb 0.000 0.000 0.000
Hf1 Hf 0.500 0.500 0.500
Mn1 Mn 0.000 0.000 0.500
# Spin magnetization = 2.07 μB/atom
# Energy of formation = 2.260 eV/atom
# Total DFT energy (no corrections) = -27.1 eV per cell

---

[2]
# Pm8Nd6Cd, optimized geometry, DFT PBE
data_Pm8Nd6Cd
_chemical_formula_sum 'Pm8 Nd6 Cd1'
_symmetry_space_group_name_H-M 'P -3'
_symmetry_Int_Tables_number 147
_cell_length_a 9.5690
_cell_length_b 9.5690
_cell_length_c 6.5227
_cell_angle_alpha 90.00
_cell_angle_beta 90.00
_cell_angle_gamma 120.00
loop_
_symmetry_equiv_pos_as_xyz
'x,y,z'
'-x,-y,-z'
'-y,x-y,z'
'y,-x+y,-z'
'-x+y,-x,z'
'x-y,x,-z'
loop_
_atom_site_label
_atom_site_type_symbol
_atom_site_fract_x
_atom_site_fract_y
_atom_site_fract_z
Pm1 Pm 0.0409 0.7755 0.1864
Pm2 Pm 0.3333 0.6667 0.1544
Nd1 Nd 0.0926 0.6421 0.6779
Cd1 Cd 0.0000 0.0000 0.5000
# Spin magnetization = 0.00 μB/atom
# Energy of formation = 0.075 eV/atom
# Total DFT energy (no corrections) = -66.4 eV per cell

---

[3]
# Nd3Sm2Tm6, optimized geometry, DFT PBE
data_Nd3Sm2Tm6
_chemical_formula_sum 'Nd6 Sm4 Tm12'
_symmetry_space_group_name_H-M 'C 1 2/m 1'
_symmetry_Int_Tables_number 12
_cell_length_a 6.140
_cell_length_b 10.652
_cell_length_c 11.584
_cell_angle_alpha 90.00
_cell_angle_beta 100.23
_cell_angle_gamma 90.00
loop_
_symmetry_equiv_pos_as_xyz
'x,y,z'
'-x,-y,-z'
'-x,y,-z'
'x,-y,z'
'x+1/2,y+1/2,z'
'-x+1/2,-y+1/2,-z'
'-x+1/2,y+1/2,-z'
'x+1/2,-y+1/2,z'
loop_
_atom_site_label
_atom_site_type_symbol
_atom_site_fract_x
_atom_site_fract_y
_atom_site_fract_z
Nd1 Nd 0.000 0.000 0.000
Nd2 Nd 0.000 0.336 0.000
Sm1 Sm 0.000 0.167 0.500
Tm1 Tm 0.249 0.334 0.748
Tm2 Tm 0.250 0.000 0.748
# Spin magnetization = 0.00 μB/atom
# Energy of formation = 0.195 eV/atom
# Total DFT energy (no corrections) = -96.9 eV per cell

---

[4]
# K3Tm2ScSe6, optimized geometry, DFT PBE
data_K3Tm2ScSe6
_chemical_formula_sum 'K6 Tm4 Sc2 Se12'
_symmetry_space_group_name_H-M 'C 1 2/m 1'
_symmetry_Int_Tables_number 12
_cell_length_a 7.125
_cell_length_b 12.341
_cell_length_c 8.016
_cell_angle_alpha 90.00
_cell_angle_beta 107.24
_cell_angle_gamma 90.00
loop_
_symmetry_equiv_pos_as_xyz
'x,y,z'
'-x,-y,-z'
'-x,y,-z'
'x,-y,z'
'x+1/2,y+1/2,z'
'-x+1/2,-y+1/2,-z'
'-x+1/2,y+1/2,-z'
'x+1/2,-y+1/2,z'
loop_
_atom_site_label
_atom_site_type_symbol
_atom_site_fract_x
_atom_site_fract_y
_atom_site_fract_z
K1 K 0.000 0.000 0.000
K2 K 0.000 0.332 0.000
Tm1 Tm 0.000 0.166 0.500
Sc1 Sc 0.000 0.500 0.500
Se1 Se 0.229 0.338 0.700
Se2 Se 0.242 0.000 0.700
# ΔE_f (raw) = -1.706 eV/atom
# Spin magnetization = 0.00 μB/atom
# Total DFT energy (no corrections) = -119.9 eV per cell